Computed, not measured: a geometry-optimized Sm4AsCl5 structure at the PBE level of DFT.

abc: 8.798 9.676 6.607
angles: 90.00 90.00 90.00
Fractional positions:
Sm1 0.043 0.250 0.023
Sm2 0.250 0.014 0.623
Sm3 0.250 0.486 0.623
Sm4 0.457 0.250 0.023
Sm5 0.543 0.750 0.977
Sm6 0.750 0.514 0.377
Sm7 0.750 0.986 0.377
Sm8 0.957 0.750 0.977
As1 0.250 0.750 0.783
As2 0.750 0.250 0.217
Cl1 0.050 0.550 0.256
Cl2 0.050 0.950 0.256
Cl3 0.250 0.250 0.348
Cl4 0.450 0.550 0.256
Cl5 0.450 0.950 0.256
Cl6 0.550 0.050 0.744
Cl7 0.550 0.450 0.744
Cl8 0.750 0.750 0.652
Cl9 0.950 0.050 0.744
Cl10 0.950 0.450 0.744

Output
- Final energy: -0.361 Ry per atom
- Total moment: 0.00 μB/atom
- E_form (uncorrected): -37.8 kcal/mol of atoms
- Excess energy over the best structure of this formula in the dataset: 187 meV/atom